(1)
Below is a relaxed NpAgPdO6 crystal, with properties calculated at the PBE-GGA level.

Summary:
Space group: P-31c, No. 163
Total energy (eV/atom): -6.959

a b c (Å): 5.3704 5.3704 10.0830
angles (deg): 90.00 90.00 120.00
With the nearest neighbours (Å) after each atom.
Fractional coordinates of all 18 atoms:
O  0.6438  0.0001  0.3580  1 Np 2.05, 1 Pd 2.05
O  0.9999  0.6437  0.3580  1 Np 2.05, 1 Pd 2.05
O  0.6437  0.9999  0.8580  1 Np 2.05, 1 Pd 2.05
O  0.3562  0.3563  0.8580  1 Np 2.05, 1 Pd 2.05
O  0.6437  0.6438  0.6420  1 Np 2.05, 1 Pd 2.05
O  0.3563  0.0001  0.1420  1 Np 2.05, 1 Pd 2.05
O  0.9999  0.3562  0.1420  1 Np 2.05, 1 Pd 2.05
O  0.0001  0.6438  0.8580  1 Np 2.05, 1 Pd 2.05
O  0.3563  0.3562  0.3580  1 Np 2.05, 1 Pd 2.05
O  0.3562  0.9999  0.6420  1 Np 2.05, 1 Pd 2.05
O  0.6438  0.6437  0.1420  1 Np 2.05, 1 Pd 2.05
O  0.0001  0.3563  0.6420  1 Np 2.05, 1 Pd 2.05
Pd  0.3333  0.6667  0.2500  6 O 2.05
Pd  0.6667  0.3333  0.7500  6 O 2.05
Ag  0.0000  0.0000  0.5000  6 O 2.39
Ag  0.0000  0.0000  0.0000  6 O 2.39
Np  0.6667  0.3333  0.2500  6 O 2.05
Np  0.3333  0.6667  0.7500  6 O 2.05

---

(2)
Below is a relaxed NpAg2PdO6 crystal, with properties calculated at the PBE-GGA level.

Summary:
Space group: C2/m, No. 12
Total energy (eV/atom): -6.543

a b c (Å): 4.9808 5.7137 6.1882
angles (deg): 117.49 110.13 90.00
With the nearest neighbours (Å) after each atom.
Fractional coordinates of all 10 atoms:
Np  0.0000  0.5000  0.0000  2 O 1.87
O  0.8144  0.3195  0.1665  1 Pd 2.00, 1 Np 2.15
O  0.6762  0.3398  0.6796  1 Np 1.87
O  0.1856  0.1530  0.8335  1 Pd 2.00, 1 Np 2.15
O  0.1856  0.6805  0.8335  1 Pd 2.00, 1 Np 2.15
O  0.8144  0.8470  0.1665  1 Pd 2.00, 1 Np 2.15
O  0.3238  0.6602  0.3204  1 Np 1.87
Pd  0.5000  0.0000  0.0000  4 O 2.00
Ag  0.1837  0.2346  0.4692  5 O 2.27-2.50
Ag  0.8163  0.7654  0.5308  5 O 2.27-2.50

---

(3)
Below is a relaxed PmNpAgO6 crystal, with properties calculated at the PBE-GGA level.

Summary:
Space group: P4_2nm, No. 102
Total energy (eV/atom): -7.771

a b c (Å): 5.2592 5.2592 10.1272
angles (deg): 90.00 90.00 90.00
With the nearest neighbours (Å) after each atom.
Fractional coordinates of all 18 atoms:
Np  0.0000  0.0000  0.3322  6 O 1.97-2.10
Np  0.5000  0.5000  0.8322  6 O 1.97-2.10
O  0.7818  0.2182  0.8365  1 Np 2.10, 1 Pm 2.30, 1 Ag 2.32
O  0.8187  0.1813  0.1818  1 Np 2.03
O  0.6813  0.6813  0.6818  1 Np 2.03
O  0.3187  0.3187  0.6818  1 Np 2.03
O  0.1813  0.8187  0.1818  1 Np 2.03
O  0.8252  0.1748  0.4778  1 Np 1.97
O  0.7182  0.7182  0.3365  1 Np 2.10, 1 Pm 2.30, 1 Ag 2.32
O  0.6748  0.6748  0.9778  1 Np 1.97
O  0.3252  0.3252  0.9778  1 Np 1.97
O  0.2818  0.2818  0.3365  1 Np 2.10, 1 Pm 2.30, 1 Ag 2.32
O  0.1748  0.8252  0.4778  1 Np 1.97
O  0.2182  0.7818  0.8365  1 Np 2.10, 1 Pm 2.30, 1 Ag 2.32
Ag  0.5000  0.5000  0.4997  6 O 2.28-2.43
Ag  0.0000  0.0000  0.9997  6 O 2.28-2.43
Pm  0.0000  0.0000  0.6759  6 O 2.30-2.39
Pm  0.5000  0.5000  0.1759  6 O 2.30-2.39

---

Which value of total energy does entry 1 give?
-6.959 eV/atom

---

What is the total energy in the second record?
-6.543 eV/atom

---

Which value of total energy does entry 2 give?
-6.543 eV/atom